# RbTlGeTe3 | Alexandria via LeMat-Bulk | PBE | optimized geometry
data_RbTlGeTe3
_cell_length_a 5.111
_cell_length_b 9.171
_cell_length_c 10.029
_cell_angle_alpha 108.65
_cell_angle_beta 90.00
_cell_angle_gamma 90.00
_space_group_name_H-M_alt 'P 1'
_space_group_IT_number 1
loop_
_space_group_symop_operation_xyz
'x,y,z'
loop_
_atom_site_label
_atom_site_type_symbol
_atom_site_fract_x
_atom_site_fract_y
_atom_site_fract_z
Rb1 Rb 0.250 0.269 0.287
Rb2 Rb 0.750 0.731 0.713
Tl1 Tl 0.250 0.680 0.087
Tl2 Tl 0.750 0.320 0.913
Ge1 Ge 0.250 0.117 0.641
Ge2 Ge 0.750 0.883 0.359
Te1 Te 0.750 0.946 0.122
Te2 Te 0.250 0.054 0.878
Te3 Te 0.250 0.811 0.437
Te4 Te 0.750 0.189 0.563
Te5 Te 0.750 0.540 0.228
Te6 Te 0.250 0.460 0.772
# - Theoretical density: 5.56 Mg/m³
# - DFT total energy: -3.249 eV per atom
# - Raw formation energy: -353 meV per atom